Entry 1:
DFT (PBE) results for a geometry-optimized SrFeSn3 structure.

Output
The size of the total moment is 0.42 μB per atom. The formation enthalpy at 0 K comes out at -91 meV/atom. For the volume, the calculation gives 25.461 A^3/atom.

Geometry as POSCAR:
```
SrFeSn3
1.0
5.0306 0.0000 0.0000
0.0000 5.0306 0.0000
0.0000 0.0000 5.0306
Sr Fe Sn
1 1 3
Direct
0.0000 0.0000 0.0000 Sr
0.5000 0.5000 0.5000 Fe
0.0000 0.5000 0.5000 Sn
0.5000 0.0000 0.5000 Sn
0.5000 0.5000 0.0000 Sn
```

=====

Entry 2:
DFT (PBE) results for a geometry-optimized SrZnCr structure.

Output
The size of the total moment is 1.53 μB per atom. The formation enthalpy at 0 K comes out at 555 meV/atom. For the volume, the calculation gives 28.932 A^3/atom. The calculation puts the offset from the most stable computed form at 209.0 meV per atom.

Geometry as POSCAR:
```
SrZnCr
1.0
0.0000 3.5142 3.5142
3.5142 0.0000 3.5142
3.5142 3.5142 0.0000
Sr Zn Cr
1 1 1
Direct
0.0000 0.0000 0.0000 Sr
0.2500 0.2500 0.2500 Zn
0.5000 0.5000 0.5000 Cr
```

=====

Entry 3:
DFT (PBE) results for a geometry-optimized SbTeW structure.

Output
The size of the total moment is 0.00 μB per atom. For the volume, the calculation gives 27.002 A^3/atom. The calculation puts the offset from the most stable computed form at 216.5 meV per atom. The value obtained for the energy relative to the elements, uncorrected is 268 meV per atom.

Geometry as POSCAR:
```
SbTeW
1.0
3.4394 0.0000 0.0000
-1.7197 2.9786 0.0000
0.0000 0.0000 7.9071
Sb Te W
1 1 1
Direct
0.0000 0.0000 0.0000 Sb
0.3333 0.6667 0.5113 Te
0.6667 0.3333 0.7452 W
```

=====

Entry 4:
DFT (PBE) results for a geometry-optimized Ho5Er4Tm structure.

Output
The size of the total moment is 0.00 μB per atom. The formation enthalpy at 0 K comes out at 57 meV/atom. For the volume, the calculation gives 30.863 A^3/atom. The calculation puts the offset from the most stable computed form at 0.0 meV per atom.

Geometry as POSCAR:
```
Ho5Er4Tm
1.0
3.5164 0.0000 0.0000
1.7265 6.4552 0.0000
0.0246 1.8113 13.5967
Ho Er Tm
5 4 1
Direct
0.0000 0.0000 0.0000 Ho
0.0383 0.9168 0.3837 Ho
0.3162 0.3743 0.4151 Ho
0.6838 0.6257 0.5849 Ho
0.9617 0.0832 0.6163 Ho
0.3160 0.3304 0.7903 Er
0.3802 0.2019 0.1922 Er
0.6198 0.7981 0.8078 Er
0.6840 0.6696 0.2097 Er
0.5000 0.5000 0.0000 Tm
```

=====

Entry 5:
DFT (PBE) results for a geometry-optimized Y2Ge3RuPt4 structure.

Output
The size of the total moment is 0.00 μB per atom. The formation enthalpy at 0 K comes out at -726 meV/atom. For the volume, the calculation gives 18.502 A^3/atom.

Geometry as POSCAR:
```
Y2Ge3RuPt4
1.0
4.0556 0.0000 0.0000
0.0000 4.0556 0.0000
0.0000 0.0000 11.2489
Y Ge Ru Pt
2 3 1 4
Direct
0.0000 0.5000 0.2495 Y
0.5000 0.0000 0.7505 Y
0.0000 0.5000 0.8635 Ge
0.5000 0.0000 0.1365 Ge
0.5000 0.5000 0.5000 Ge
0.0000 0.0000 0.5000 Ru
0.0000 0.0000 0.0000 Pt
0.0000 0.5000 0.6497 Pt
0.5000 0.0000 0.3503 Pt
0.5000 0.5000 0.0000 Pt
```

=====

Entry 6:
DFT (PBE) results for a geometry-optimized K3CdHg2 structure.

Output
The size of the total moment is 0.00 μB per atom. The formation enthalpy at 0 K comes out at -163 meV/atom. For the volume, the calculation gives 40.282 A^3/atom. The calculation puts the offset from the most stable computed form at 0.0 meV per atom.

Geometry as POSCAR:
```
K3CdHg2
1.0
9.0237 0.0000 0.0000
0.0000 10.0436 0.0000
-2.5646 0.0000 10.6673
K Cd Hg
12 4 8
Direct
0.1623 0.1087 0.4616 K
0.1623 0.3913 0.9616 K
0.2260 0.0446 0.1022 K
0.2260 0.4554 0.6022 K
0.3052 0.7193 0.3518 K
0.3052 0.7807 0.8518 K
0.6948 0.2193 0.1482 K
0.6948 0.2807 0.6482 K
0.7740 0.5446 0.3978 K
0.7740 0.9554 0.8978 K
0.8377 0.6087 0.0384 K
0.8377 0.8913 0.5384 K
0.4030 0.1486 0.8115 Cd
0.4030 0.3514 0.3115 Cd
0.5970 0.6486 0.6885 Cd
0.5970 0.8514 0.1885 Cd
0.0631 0.1097 0.7642 Hg
0.0631 0.3903 0.2642 Hg
0.4842 0.5627 0.1252 Hg
0.4842 0.9373 0.6252 Hg
0.5158 0.0627 0.3748 Hg
0.5158 0.4373 0.8748 Hg
0.9369 0.6097 0.7358 Hg
0.9369 0.8903 0.2358 Hg
```

=====

Entry 7:
DFT (PBE) results for a geometry-optimized Sr3Tl4Hg4 structure.

Output
The size of the total moment is 0.00 μB per atom. The formation enthalpy at 0 K comes out at -335 meV/atom. For the volume, the calculation gives 30.656 A^3/atom.

Geometry as POSCAR:
```
Sr3Tl4Hg4
1.0
4.0030 0.0000 0.0000
-0.0042 5.2775 0.0000
-1.9951 -2.6176 15.9619
Sr Tl Hg
3 4 4
Direct
0.0000 0.0000 0.0000 Sr
0.1410 0.6420 0.2829 Sr
0.8590 0.3580 0.7171 Sr
0.2610 0.2609 0.5234 Tl
0.4104 0.9075 0.8165 Tl
0.5896 0.0925 0.1835 Tl
0.7390 0.7391 0.4766 Tl
0.3165 0.8146 0.6313 Hg
0.4549 0.4533 0.9077 Hg
0.5451 0.5467 0.0923 Hg
0.6835 0.1854 0.3687 Hg
```

=====

Entry 8:
DFT (PBE) results for a geometry-optimized Ca3Hf3TcN8 structure.

Output
The size of the total moment is 0.05 μB per atom. For the volume, the calculation gives 13.371 A^3/atom. The value obtained for the energy relative to the elements, uncorrected is -1147 meV per atom.

Geometry as POSCAR:
```
Ca3Hf3TcN8
1.0
3.2064 1.8512 5.6311
-3.2064 1.8512 5.6311
0.0000 -3.7025 5.6311
Ca Hf Tc N
3 3 1 8
Direct
0.0000 0.5000 0.5000 Ca
0.5000 0.0000 0.5000 Ca
0.5000 0.5000 0.0000 Ca
0.0000 0.0000 0.5000 Hf
0.0000 0.5000 0.0000 Hf
0.5000 0.0000 0.0000 Hf
0.5000 0.5000 0.5000 Tc
0.2376 0.2376 0.2376 N
0.2509 0.7250 0.7250 N
0.2750 0.2750 0.7491 N
0.2750 0.7491 0.2750 N
0.7250 0.2509 0.7250 N
0.7250 0.7250 0.2509 N
0.7491 0.2750 0.2750 N
0.7624 0.7624 0.7624 N
```

=====

Entry 9:
DFT (PBE) results for a geometry-optimized Zn3BBr structure.

Output
The size of the total moment is 0.00 μB per atom. For the volume, the calculation gives 16.778 A^3/atom. The calculation puts the offset from the most stable computed form at 0.0 meV per atom. The value obtained for the energy relative to the elements, uncorrected is 57 meV per atom.

Geometry as POSCAR:
```
Zn3BBr
1.0
4.3776 0.0000 0.0000
0.0000 4.3776 0.0000
0.0000 0.0000 4.3776
Zn B Br
3 1 1
Direct
0.0000 0.0000 0.5000 Zn
0.0000 0.5000 0.0000 Zn
0.5000 0.0000 0.0000 Zn
0.0000 0.0000 0.0000 B
0.5000 0.5000 0.5000 Br
```

=====

Entry 10:
DFT (PBE) results for a geometry-optimized TaZn3Cd structure.

Output
The size of the total moment is 0.14 μB per atom. The formation enthalpy at 0 K comes out at 1049 meV/atom. For the volume, the calculation gives 26.026 A^3/atom. The calculation puts the offset from the most stable computed form at 0.0 meV per atom.

Geometry as POSCAR:
```
TaZn3Cd
1.0
5.0675 0.0000 0.0000
0.0000 5.0675 0.0000
0.0000 0.0000 5.0675
Ta Zn Cd
1 3 1
Direct
0.0000 0.0000 0.0000 Ta
0.0000 0.0000 0.5000 Zn
0.0000 0.5000 0.0000 Zn
0.5000 0.0000 0.0000 Zn
0.5000 0.5000 0.5000 Cd
```

=====

Entry 11:
DFT (PBE) results for a geometry-optimized LaPmMgGe structure.

Output
The size of the total moment is 0.00 μB per atom. The formation enthalpy at 0 K comes out at -387 meV/atom. For the volume, the calculation gives 26.805 A^3/atom.

Geometry as POSCAR:
```
LaPmMgGe
1.0
0.0000 3.7706 3.7706
3.7706 0.0000 3.7706
3.7706 3.7706 0.0000
La Pm Mg Ge
1 1 1 1
Direct
0.0000 0.0000 0.0000 La
0.5000 0.5000 0.5000 Pm
0.7500 0.7500 0.7500 Mg
0.2500 0.2500 0.2500 Ge
```

=====

Entry 12:
DFT (PBE) results for a geometry-optimized Nd2NbGe structure.

Output
The size of the total moment is 0.24 μB per atom. The formation enthalpy at 0 K comes out at 400 meV/atom. For the volume, the calculation gives 25.466 A^3/atom.

Geometry as POSCAR:
```
Nd2NbGe
1.0
1.6350 0.9440 11.0002
-1.6350 0.9440 11.0002
0.0000 -1.8879 11.0002
Nd Nb Ge
2 1 1
Direct
0.0911 0.0911 0.0911 Nd
0.9089 0.9089 0.9089 Nd
0.0000 0.0000 0.0000 Nb
0.5000 0.5000 0.5000 Ge
```

=====

One value per record, in order, for final energy: -4.522; -3.638; -6.471; -4.504; -6.748; -0.965; -1.764; -8.670; -2.378; -2.269; -4.360; -5.655 eV per atom.